## A
The following is a PBE calculation of crystalline Se2BrOF at its relaxed geometry, from the Alexandria database.

Calculated values
density of states at the Fermi level	5.27	states/eV per cell
space group	P4/mmm (123)
calculated density	4.968	g/cm3

Cell and atoms, written as POSCAR:
```
Se2BrOF
1.0
4.367 0.000 0.000
0.000 4.367 0.000
0.000 0.000 4.782
Se Br O F
2 1 1 1
Direct
0.000 0.500 0.000
0.500 0.000 0.000
0.000 0.000 0.500
0.000 0.000 0.000
0.500 0.500 0.500
```

## B
The following is a PBE calculation of crystalline Se2BrOF at its relaxed geometry, from the Alexandria database.

Calculated values
density of states at the Fermi level	7.30	states/eV per cell
space group	P4/mmm (123)
calculated density	3.989	g/cm3

Cell and atoms, written as POSCAR:
```
Se2BrOF
1.0
4.294 0.000 0.000
0.000 4.294 0.000
0.000 0.000 6.159
Se Br O F
2 1 1 1
Direct
0.000 0.500 0.000
0.500 0.000 0.000
0.000 0.000 0.500
0.500 0.500 0.500
0.000 0.000 0.000
```

Which of them is least stable? Easy: B.

## A
The following is a PBE calculation of crystalline TaBrOF2 at its relaxed geometry, from the Alexandria database.

Calculated values
density of states at the Fermi level	5.12	states/eV per cell
space group	P4/mmm (123)
calculated density	5.832	g/cm3

Cell and atoms, written as POSCAR:
```
TaBrOF2
1.0
5.002 0.000 0.000
0.000 5.002 0.000
0.000 0.000 3.583
Ta Br O F
1 1 1 2
Direct
0.000 0.000 0.000
0.500 0.500 0.500
0.500 0.500 0.000
0.000 0.500 0.500
0.500 0.000 0.500
```

## B
The following is a PBE calculation of crystalline TaBrOF2 at its relaxed geometry, from the Alexandria database.

Calculated values
density of states at the Fermi level	2.15	states/eV per cell
space group	P4/mmm (123)
calculated density	7.456	g/cm3

Cell and atoms, written as POSCAR:
```
TaBrOF2
1.0
4.232 0.000 0.000
0.000 4.232 0.000
0.000 0.000 3.915
Ta Br O F
1 1 1 2
Direct
0.000 0.000 0.000
0.500 0.500 0.500
0.000 0.000 0.500
0.000 0.500 0.000
0.500 0.000 0.000
```

Which of them is least stable? Easy: A.

## A
The following is a PBE calculation of crystalline TiBrOF2 at its relaxed geometry, from the Alexandria database.

Calculated values
density of states at the Fermi level	4.56	states/eV per cell
space group	P4/mmm (123)
calculated density	4.536	g/cm3

Cell and atoms, written as POSCAR:
```
TiBrOF2
1.0
4.159 0.000 0.000
0.000 4.159 0.000
0.000 0.000 3.848
Ti Br O F
1 1 1 2
Direct
0.000 0.000 0.000
0.500 0.500 0.500
0.000 0.000 0.500
0.000 0.500 0.000
0.500 0.000 0.000
```

## B
The following is a PBE calculation of crystalline TiBrOF2 at its relaxed geometry, from the Alexandria database.

Calculated values
density of states at the Fermi level	5.61	states/eV per cell
space group	P4/mmm (123)
calculated density	3.407	g/cm3

Cell and atoms, written as POSCAR:
```
TiBrOF2
1.0
4.878 0.000 0.000
0.000 4.878 0.000
0.000 0.000 3.723
Ti Br O F
1 1 1 2
Direct
0.000 0.000 0.000
0.500 0.500 0.500
0.500 0.500 0.000
0.000 0.500 0.500
0.500 0.000 0.500
```

Which of them is least stable? Easy: B.